# 1
Pm3Y2ScSe6 PBE relaxed; magnetic moment = 0.00 μB per atom; total DFT energy (no corrections) = -6.2997 eV per atom; calculated volume = 294 Å³/cell; density of states at the Fermi level = 0.482 states/eV/atom; symmetry = C2/m, No. 12; E_form (uncorrected) = -1.765 eV per atom
1.0
8.9821 -2.0397 0.0000
8.9821 2.0397 0.0000
-2.0500 0.0000 8.0318
Pm Y Sc Se
3 2 1 6
direct
0.0000 0.0000 0.0000
0.3304 0.3304 0.6642
0.6696 0.6696 0.3358
0.3339 0.3339 0.1678
0.6661 0.6661 0.8322
0.0000 0.0000 0.5000
0.1588 0.1588 0.5862
0.1689 0.1689 0.0775
0.4995 0.4995 0.2670
0.5005 0.5005 0.7330
0.8311 0.8311 0.9225
0.8412 0.8412 0.4138

***

# 2
PmY2ScSe4 PBE relaxed; magnetic moment = 0.00 μB per atom; total DFT energy (no corrections) = -6.4608 eV per atom; calculated volume = 191 Å³/cell; density of states at the Fermi level = 0.618 states/eV/atom; symmetry = P2/m, No. 10; E_form (uncorrected) = -1.717 eV per atom
1.0
7.0282 0.0000 0.0000
0.0000 4.0301 0.0000
-2.3174 0.0000 6.7341
Pm Y Sc Se
1 2 1 4
direct
0.0000 0.0000 0.0000
0.5000 0.0000 0.5000
0.5000 0.5000 0.0000
0.0000 0.5000 0.5000
0.2424 0.0000 0.7360
0.2511 0.5000 0.2621
0.7489 0.5000 0.7379
0.7576 0.0000 0.2640

***

# 3
Pm4Y3ScSe8 PBE relaxed; magnetic moment = 0.00 μB per atom; total DFT energy (no corrections) = -6.3066 eV per atom; calculated volume = 395 Å³/cell; density of states at the Fermi level = 0.661 states/eV/atom; symmetry = R-3m, No. 166; E_form (uncorrected) = -1.769 eV per atom
1.0
4.0896 2.3611 6.8250
-4.0896 2.3611 6.8250
0.0000 -4.7223 6.8250
Pm Y Sc Se
4 3 1 8
direct
0.0000 0.0000 0.0000
0.0000 0.5000 0.5000
0.5000 0.0000 0.5000
0.5000 0.5000 0.0000
0.0000 0.0000 0.5000
0.0000 0.5000 0.0000
0.5000 0.0000 0.0000
0.5000 0.5000 0.5000
0.2464 0.2464 0.2464
0.2522 0.7408 0.7408
0.2592 0.2592 0.7478
0.2592 0.7478 0.2592
0.7408 0.2522 0.7408
0.7408 0.7408 0.2522
0.7478 0.2592 0.2592
0.7536 0.7536 0.7536